The following is a PBE-GGA calculation of crystalline In4Ag15Sn at its relaxed geometry, from the Alexandria database.

abc: 4.258 4.258 21.064
angles: 90.00 90.00 90.00
Fractional positions:
In (0.000, 0.000, 0.100)
In (0.000, 0.000, 0.300)
In (0.000, 0.000, 0.700)
In (0.000, 0.000, 0.900)
Ag (0.000, 0.500, 0.000)
Ag (0.000, 0.500, 0.199)
Ag (0.000, 0.500, 0.399)
Ag (0.000, 0.500, 0.601)
Ag (0.000, 0.500, 0.801)
Ag (0.500, 0.000, 0.000)
Ag (0.500, 0.000, 0.199)
Ag (0.500, 0.000, 0.399)
Ag (0.500, 0.000, 0.601)
Ag (0.500, 0.000, 0.801)
Ag (0.500, 0.500, 0.100)
Ag (0.500, 0.500, 0.298)
Ag (0.500, 0.500, 0.500)
Ag (0.500, 0.500, 0.702)
Ag (0.500, 0.500, 0.900)
Sn (0.000, 0.000, 0.500)

Results
- E_tot (eV per atom) = -2.900



The following is a PBE-GGA calculation of crystalline InAg8Sn2 at its relaxed geometry, from the Alexandria database.

abc: 7.749 7.749 5.130
angles: 105.77 105.77 119.37
Fractional positions:
In (0.000, 0.000, 0.000)
Ag (0.100, 0.324, 0.634)
Ag (0.213, 0.787, 0.000)
Ag (0.324, 0.100, 0.634)
Ag (0.416, 0.416, 0.185)
Ag (0.584, 0.584, 0.815)
Ag (0.676, 0.900, 0.366)
Ag (0.787, 0.213, 0.000)
Ag (0.900, 0.676, 0.366)
Sn (0.305, 0.695, 0.500)
Sn (0.695, 0.305, 0.500)

Results
- E_tot (eV per atom) = -2.971



The following is a PBE-GGA calculation of crystalline In3Ag3Sn at its relaxed geometry, from the Alexandria database.

abc: 7.664 7.664 7.664
angles: 90.00 90.00 90.00
Fractional positions:
In (0.000, 0.250, 0.500)
In (0.000, 0.750, 0.500)
In (0.250, 0.500, 0.000)
In (0.500, 0.000, 0.250)
In (0.500, 0.000, 0.750)
In (0.750, 0.500, 0.000)
Ag (0.000, 0.500, 0.250)
Ag (0.000, 0.500, 0.750)
Ag (0.250, 0.000, 0.500)
Ag (0.500, 0.250, 0.000)
Ag (0.500, 0.750, 0.000)
Ag (0.750, 0.000, 0.500)
Sn (0.000, 0.000, 0.000)
Sn (0.500, 0.500, 0.500)

Results
- E_tot (eV per atom) = -2.467



The following is a PBE-GGA calculation of crystalline In2Ag3Sn2 at its relaxed geometry, from the Alexandria database.

abc: 4.884 5.267 7.362
angles: 110.12 109.32 90.22
Fractional positions:
In (0.115, 0.128, 0.232)
In (0.885, 0.872, 0.768)
Ag (0.000, 0.500, 0.000)
Ag (0.259, 0.843, 0.519)
Ag (0.741, 0.157, 0.481)
Sn (0.377, 0.463, 0.750)
Sn (0.623, 0.537, 0.250)

Results
- E_tot (eV per atom) = -3.111



The following is a PBE-GGA calculation of crystalline In2Ag3Sn at its relaxed geometry, from the Alexandria database.

abc: 6.800 6.800 5.838
angles: 90.00 90.00 83.00
Fractional positions:
In (0.059, 0.615, 0.750)
In (0.385, 0.941, 0.750)
In (0.615, 0.059, 0.250)
In (0.941, 0.385, 0.250)
Ag (0.000, 0.000, 0.000)
Ag (0.000, 0.000, 0.500)
Ag (0.325, 0.325, 0.000)
Ag (0.325, 0.325, 0.500)
Ag (0.675, 0.675, 0.000)
Ag (0.675, 0.675, 0.500)
Sn (0.286, 0.714, 0.250)
Sn (0.714, 0.286, 0.750)

Results
- E_tot (eV per atom) = -2.988



The following is a PBE-GGA calculation of crystalline In3Ag12Sn at its relaxed geometry, from the Alexandria database.

abc: 4.241 4.241 16.963
angles: 90.00 90.00 90.00
Fractional positions:
In (0.000, 0.000, 0.000)
In (0.000, 0.000, 0.249)
In (0.000, 0.000, 0.751)
Ag (0.000, 0.500, 0.125)
Ag (0.000, 0.500, 0.374)
Ag (0.000, 0.500, 0.626)
Ag (0.000, 0.500, 0.875)
Ag (0.500, 0.000, 0.125)
Ag (0.500, 0.000, 0.374)
Ag (0.500, 0.000, 0.626)
Ag (0.500, 0.000, 0.875)
Ag (0.500, 0.500, 0.000)
Ag (0.500, 0.500, 0.249)
Ag (0.500, 0.500, 0.500)
Ag (0.500, 0.500, 0.751)
Sn (0.000, 0.000, 0.500)

Results
- E_tot (eV per atom) = -2.913



The following is a PBE-GGA calculation of crystalline In3Ag5Sn12 at its relaxed geometry, from the Alexandria database.

abc: 14.567 14.567 14.567
angles: 109.47 109.47 109.47
Fractional positions:
In (0.125, 0.250, 0.375)
In (0.125, 0.375, 0.750)
In (0.250, 0.375, 0.125)
In (0.250, 0.875, 0.625)
In (0.375, 0.125, 0.250)
In (0.375, 0.750, 0.125)
In (0.625, 0.250, 0.875)
In (0.625, 0.875, 0.750)
In (0.750, 0.125, 0.375)
In (0.750, 0.625, 0.875)
In (0.875, 0.625, 0.250)
In (0.875, 0.750, 0.625)
Ag (0.000, 0.000, 0.000)
Ag (0.000, 0.000, 0.500)
Ag (0.000, 0.500, 0.000)
Ag (0.000, 0.500, 0.500)
Ag (0.125, 0.750, 0.875)
Ag (0.125, 0.875, 0.250)
Ag (0.250, 0.125, 0.875)
Ag (0.250, 0.625, 0.375)
Ag (0.375, 0.250, 0.625)
Ag (0.375, 0.625, 0.750)
Ag (0.500, 0.000, 0.000)
Ag (0.500, 0.000, 0.500)
Ag (0.500, 0.500, 0.000)
Ag (0.500, 0.500, 0.500)
Ag (0.625, 0.375, 0.250)
Ag (0.625, 0.750, 0.375)
Ag (0.750, 0.375, 0.625)
Ag (0.750, 0.875, 0.125)
Ag (0.875, 0.125, 0.750)
Ag (0.875, 0.250, 0.125)
Sn (0.054, 0.224, 0.127)
Sn (0.054, 0.330, 0.927)
Sn (0.073, 0.627, 0.403)
Sn (0.073, 0.946, 0.670)
Sn (0.097, 0.724, 0.670)
Sn (0.097, 0.873, 0.427)
Sn (0.127, 0.054, 0.224)
Sn (0.127, 0.573, 0.903)
Sn (0.170, 0.224, 0.597)
Sn (0.170, 0.446, 0.573)
Sn (0.224, 0.127, 0.054)
Sn (0.224, 0.597, 0.170)
Sn (0.276, 0.330, 0.903)
Sn (0.276, 0.446, 0.373)
Sn (0.330, 0.903, 0.276)
Sn (0.330, 0.927, 0.054)
Sn (0.373, 0.276, 0.446)
Sn (0.373, 0.597, 0.927)
Sn (0.403, 0.073, 0.627)
Sn (0.403, 0.830, 0.776)
Sn (0.427, 0.097, 0.873)
Sn (0.427, 0.830, 0.554)
Sn (0.446, 0.373, 0.276)
Sn (0.446, 0.573, 0.170)
Sn (0.554, 0.427, 0.830)
Sn (0.554, 0.627, 0.724)
Sn (0.573, 0.170, 0.446)
Sn (0.573, 0.903, 0.127)
Sn (0.597, 0.170, 0.224)
Sn (0.597, 0.927, 0.373)
Sn (0.627, 0.403, 0.073)
Sn (0.627, 0.724, 0.554)
Sn (0.670, 0.073, 0.946)
Sn (0.670, 0.097, 0.724)
Sn (0.724, 0.554, 0.627)
Sn (0.724, 0.670, 0.097)
Sn (0.776, 0.403, 0.830)
Sn (0.776, 0.873, 0.946)
Sn (0.830, 0.554, 0.427)
Sn (0.830, 0.776, 0.403)
Sn (0.873, 0.427, 0.097)
Sn (0.873, 0.946, 0.776)
Sn (0.903, 0.127, 0.573)
Sn (0.903, 0.276, 0.330)
Sn (0.927, 0.054, 0.330)
Sn (0.927, 0.373, 0.597)
Sn (0.946, 0.670, 0.073)
Sn (0.946, 0.776, 0.873)

Results
- E_tot (eV per atom) = -3.346



The following is a PBE-GGA calculation of crystalline InAgSn2 at its relaxed geometry, from the Alexandria database.

abc: 6.648 6.648 6.648
angles: 101.59 101.59 126.75
Fractional positions:
In (0.000, 0.000, 0.000)
In (0.750, 0.250, 0.500)
Ag (0.250, 0.750, 0.500)
Ag (0.500, 0.500, 0.000)
Sn (0.166, 0.125, 0.541)
Sn (0.375, 0.834, 0.959)
Sn (0.584, 0.625, 0.459)
Sn (0.875, 0.416, 0.041)

Results
- energy above the lowest structure with this stoichiometry (kJ/mol of formula units) = 28